Record 1
A plane-wave DFT calculation with PBE was carried out for crystalline TiSbMo2Pd at its relaxed geometry.

Cell lengths 4.588, 4.588, 4.799 Å; angles 90.00, 90.00, 90.00 degrees
Space group P4/mmm (No. 123)
Asymmetric unit:
Ti 0.000 0.000 0.000 x1
Sb 0.500 0.500 0.500 x1
Mo 0.000 0.500 0.000 x2
Pd 0.000 0.000 0.500 x1

energy	-6.66	eV per atom
total magnetic moment	0.98	Bohr magnetons per cell
D(E_F)	5.90	states/eV per cell


Record 2
A plane-wave DFT calculation with PBE was carried out for crystalline SbMo2PdW at its relaxed geometry.

Cell lengths 4.769, 4.769, 4.769 Å; angles 90.00, 90.00, 90.00 degrees
Space group P4/mmm (No. 123)
Asymmetric unit:
Sb 0.000 0.000 0.000 x1
Mo 0.000 0.500 0.500 x2
Pd 0.500 0.500 0.500 x1
W 0.500 0.500 0.000 x1

energy	-6.91	eV per atom
total magnetic moment	0.00	Bohr magnetons per cell
D(E_F)	6.24	states/eV per cell


Record 3
A plane-wave DFT calculation with PBE was carried out for crystalline ZnSbMoPd2 at its relaxed geometry.

Cell lengths 4.871, 4.871, 5.148 Å; angles 90.00, 90.00, 90.00 degrees
Space group P4/mmm (No. 123)
Asymmetric unit:
Zn 0.000 0.000 0.000 x1
Sb 0.500 0.500 0.000 x1
Mo 0.500 0.500 0.500 x1
Pd 0.000 0.500 0.500 x2

energy	-4.37	eV per atom
total magnetic moment	0.00	Bohr magnetons per cell
D(E_F)	5.78	states/eV per cell


Record 4
A plane-wave DFT calculation with PBE was carried out for crystalline ScMoPd3 at its relaxed geometry.

Cell lengths 4.783, 4.783, 4.783 Å; angles 90.00, 90.00, 90.00 degrees
Space group Pm-3m (No. 221)
Asymmetric unit:
Sc 0.000 0.000 0.000 x1
Mo 0.500 0.500 0.500 x1
Pd 0.000 0.500 0.500 x3

energy	-5.91	eV per atom
ΔH_f (0 K)	3.180	eV per formula unit
total magnetic moment	0.00	Bohr magnetons per cell
energy above the most stable polymorph in this dataset	0.00	eV/f.u.
D(E_F)	4.83	states/eV per cell


> Among the records above, which one has the highest energy?

ZnSbMoPd2